BaPrH6Rh2 after structural relaxation. Source: Alexandria, functional PBE.

a b c (Å): 8.2123 10.1424 7.0436
angles (deg): 90.00 114.79 90.00
Space group C2/c (No. 15)
Inequivalent atoms, fractional coordinates:
Ba  0.0000  0.1551  0.2500
Pr  0.0000  0.4121  0.7500
H  0.0950  0.3923  0.1215
H  0.1673  0.2581  0.6341
H  0.1808  0.0438  0.0108
Rh  0.1840  0.1486  0.8244

Summary:
Total magnetization ... 4.00 μB per cell
ρ ... 6.1 g/cm3
Uncorrected energy ... -4.563 eV per atom
Calculated volume ... 532.63 Å³ per cell



Er4CuNi2 after structural relaxation. Source: Alexandria, functional PBE.

a b c (Å): 6.7071 6.7071 6.7243
angles (deg): 90.00 90.00 90.00
Space group I4/mmm (No. 139)
Inequivalent atoms, fractional coordinates:
Er  0.2500  0.2500  0.2500
Cu  0.0000  0.0000  0.0000
Ni  0.0000  0.5000  0.0000

Summary:
Total magnetization ... 0.00 μB per cell
ρ ... 9.3 g/cm3
Offset from the most stable computed form ... 0 meV per atom
Calculated volume ... 302.49 Å³ per cell



K2TlHg2F6 after structural relaxation. Source: Alexandria, functional PBE.

a b c (Å): 11.3712 6.8026 7.2074
angles (deg): 90.00 120.87 90.00
Space group C2/m (No. 12)
Inequivalent atoms, fractional coordinates:
K  0.2209  0.0000  0.1281
Tl  0.0000  0.0000  0.5000
Hg  0.0844  0.5000  0.2246
F  0.0944  0.2224  0.7625
F  0.1837  0.0000  0.4588

Summary:
Uncorrected formation energy ... -1.85 eV per atom
Total magnetization ... 0.00 μB per cell
ρ ... 5.5 g/cm3
Calculated volume ... 478.56 Å³ per cell



TaCr2Hg after structural relaxation. Source: Alexandria, functional PBE.

a b c (Å): 3.2297 4.5271 8.7293
angles (deg): 90.00 90.00 90.00
Space group Cmmm (No. 65)
Inequivalent atoms, fractional coordinates:
Ta  0.0000  0.0000  0.0000
Cr  0.0000  0.5000  0.2345
Hg  0.0000  0.0000  0.5000

Summary:
Total magnetization ... 1.57 μB per cell
ρ ... 12.6 g/cm3
Uncorrected energy ... -7.350 eV per atom
Calculated volume ... 127.63 Å³ per cell



Pm2Er3Ge4 after structural relaxation. Source: Alexandria, functional PBE.

a b c (Å): 7.9166 7.8254 7.6179
angles (deg): 90.00 111.21 90.00
Space group P2_1/c (No. 14)
Inequivalent atoms, fractional coordinates:
Pm  0.1959  0.1803  0.0655
Er  0.2413  0.6645  0.2352
Er  0.5000  0.0000  0.5000
Ge  0.0865  0.5395  0.8348
Ge  0.4928  0.1311  0.8691

Summary:
Total magnetization ... 0.00 μB per cell
ρ ... 8.2 g/cm3
Uncorrected energy ... -5.511 eV per atom
Calculated volume ... 439.96 Å³ per cell



Ga2CuPdAu after structural relaxation. Source: Alexandria, functional PBE.

a b c (Å): 4.4879 4.4879 4.8500
angles (deg): 90.00 90.00 90.00
Space group P4/mmm (No. 123)
Inequivalent atoms, fractional coordinates:
Ga  0.0000  0.5000  0.0000
Cu  0.0000  0.0000  0.0000
Pd  0.5000  0.5000  0.5000
Au  0.0000  0.0000  0.5000

Summary:
Total magnetization ... 0.00 μB per cell
ρ ... 8.6 g/cm3
Offset from the most stable computed form ... 0 meV per atom
Calculated volume ... 97.68 Å³ per cell



TaCu2Ag3S6 after structural relaxation. Source: Alexandria, functional PBE.

a b c (Å): 6.7315 10.3116 6.7787
angles (deg): 90.00 110.01 90.00
Space group C2/m (No. 12)
Inequivalent atoms, fractional coordinates:
Ta  0.0000  0.0000  0.0000
Cu  0.0000  0.3235  0.0000
Ag  0.0000  0.1472  0.5000
Ag  0.0000  0.5000  0.5000
S  0.2005  0.1670  0.2427
S  0.2139  0.5000  0.1701

Summary:
Uncorrected formation energy ... -0.22 eV per atom
Total magnetization ... 0.00 μB per cell
ρ ... 6.2 g/cm3
Calculated volume ... 442.12 Å³ per cell



Cs5CaI6 after structural relaxation. Source: Alexandria, functional PBE.

a b c (Å): 9.4361 16.3046 9.5204
angles (deg): 90.00 108.92 90.00
Space group C2/m (No. 12)
Inequivalent atoms, fractional coordinates:
Cs  0.0000  0.0000  0.0000
Cs  0.0000  0.1661  0.5000
Cs  0.0000  0.3304  0.0000
Ca  0.0000  0.5000  0.5000
I  0.2084  0.5000  0.2860
I  0.2095  0.3605  0.7095

Summary:
Uncorrected formation energy ... -1.42 eV per atom
Total magnetization ... 0.00 μB per cell
ρ ... 3.5 g/cm3
Calculated volume ... 1385.57 Å³ per cell



MoRuPt after structural relaxation. Source: Alexandria, functional PBE.

a b c (Å): 8.7362 3.8253 6.2490
angles (deg): 90.00 104.95 90.00
Space group C2/m (No. 12)
Inequivalent atoms, fractional coordinates:
Mo  0.1763  0.0000  0.1701
Ru  0.1333  0.5000  0.4175
Pt  0.1022  0.0000  0.7479

Summary:
Total magnetization ... 0.00 μB per cell
ρ ... 12.9 g/cm3
Offset from the most stable computed form ... 302 meV per atom
Calculated volume ... 201.76 Å³ per cell



MgTcB3 after structural relaxation. Source: Alexandria, functional PBE.

a b c (Å): 4.0019 4.0019 4.0019
angles (deg): 90.00 90.00 90.00
Space group Pm-3m (No. 221)
Inequivalent atoms, fractional coordinates:
Mg  0.0000  0.0000  0.0000
Tc  0.5000  0.5000  0.5000
B  0.0000  0.0000  0.5000

Summary:
Total magnetization ... 0.00 μB per cell
ρ ... 4.0 g/cm3
Offset from the most stable computed form ... 1800 meV per atom
Calculated volume ... 64.09 Å³ per cell



Nd3Se2O2 after structural relaxation. Source: Alexandria, functional PBE.

a b c (Å): 24.3454 4.0486 9.4295
angles (deg): 90.00 95.56 90.00
Space group C2/m (No. 12)
Inequivalent atoms, fractional coordinates:
Nd  0.0000  0.0000  0.0000
Nd  0.0377  0.5000  0.6785
Nd  0.0944  0.0000  0.3607
Nd  0.1857  0.0000  0.9882
Nd  0.2206  0.5000  0.6519
Se  0.0890  0.5000  0.0195
Se  0.1322  0.0000  0.6758
Se  0.1894  0.5000  0.3246
O  0.0035  0.0000  0.2490
O  0.0537  0.5000  0.4368
O  0.2233  0.5000  0.9076

Summary:
Uncorrected formation energy ... -2.60 eV per atom
Total magnetization ... 0.00 μB per cell
ρ ... 6.7 g/cm3
Offset from the most stable computed form ... 0 meV per atom
Calculated volume ... 925.03 Å³ per cell



BeNb2Al2 after structural relaxation. Source: Alexandria, functional PBE.

a b c (Å): 6.3449 6.3449 3.9415
angles (deg): 90.00 90.00 90.00
Space group P4/mbm (No. 127)
Inequivalent atoms, fractional coordinates:
Be  0.0000  0.0000  0.0000
Nb  0.1696  0.3304  0.5000
Al  0.1379  0.6379  0.0000

Summary:
Total magnetization ... 0.00 μB per cell
ρ ... 5.2 g/cm3
Offset from the most stable computed form ... 0 meV per atom
Calculated volume ... 158.68 Å³ per cell



SrLaHg2As after structural relaxation. Source: Alexandria, functional PBE.

a b c (Å): 5.6474 5.6474 5.6284
angles (deg): 90.00 90.00 90.00
Space group P4/mmm (No. 123)
Inequivalent atoms, fractional coordinates:
Sr  0.0000  0.0000  0.0000
La  0.5000  0.5000  0.5000
Hg  0.0000  0.5000  0.0000
As  0.0000  0.0000  0.5000

Summary:
Total magnetization ... 0.00 μB per cell
ρ ... 6.5 g/cm3
Uncorrected energy ... -2.323 eV per atom
Calculated volume ... 179.51 Å³ per cell



TbDyPa2N4 after structural relaxation. Source: Alexandria, functional PBE.

a b c (Å): 6.0523 3.4904 6.0575
angles (deg): 90.00 109.53 90.00
Space group P2/m (No. 10)
Inequivalent atoms, fractional coordinates:
Tb  0.0000  0.0000  0.0000
Dy  0.5000  0.5000  0.0000
Pa  0.0000  0.5000  0.5000
Pa  0.5000  0.0000  0.5000
N  0.2472  0.0000  0.7384
N  0.2559  0.5000  0.2626

Summary:
Uncorrected formation energy ... -1.66 eV per atom
Total magnetization ... 0.00 μB per cell
ρ ... 11.6 g/cm3
Calculated volume ... 120.60 Å³ per cell



CaBr after structural relaxation. Source: Alexandria, functional PBE.

a b c (Å): 4.0876 4.0876 9.6894
angles (deg): 90.00 90.00 120.00
Space group P6_3mc (No. 186)
Inequivalent atoms, fractional coordinates:
Ca  0.3333  0.6667  0.0000
Br  0.3333  0.6667  0.3069

Summary:
Uncorrected formation energy ... -1.23 eV per atom
Total magnetization ... 1.60 μB per cell
ρ ... 2.8 g/cm3
Calculated volume ... 140.20 Å³ per cell



Pr6Sm3YTm2 after structural relaxation. Source: Alexandria, functional PBE.

a b c (Å): 6.3348 10.9749 11.9631
angles (deg): 90.00 100.15 90.00
Space group C2/m (No. 12)
Inequivalent atoms, fractional coordinates:
Pr  0.2485  0.0000  0.2468
Pr  0.2497  0.1673  0.7532
Sm  0.0000  0.0000  0.5000
Sm  0.0000  0.3332  0.5000
Y  0.0000  0.5000  0.0000
Tm  0.0000  0.1666  0.0000

Summary:
Total magnetization ... 0.00 μB per cell
ρ ... 7.0 g/cm3
Uncorrected energy ... -4.840 eV per atom
Calculated volume ... 818.70 Å³ per cell



LiPm2Pd4 after structural relaxation. Source: Alexandria, functional PBE.

a b c (Å): 8.1830 8.6226 8.6524
angles (deg): 90.00 90.00 90.00
Space group Fmmm (No. 69)
Inequivalent atoms, fractional coordinates:
Li  0.0000  0.0000  0.0000
Pm  0.2500  0.2500  0.2500
Pd  0.0000  0.0000  0.2782
Pd  0.0000  0.2208  0.5000

Summary:
Total magnetization ... 0.00 μB per cell
ρ ... 7.9 g/cm3
Offset from the most stable computed form ... 0 meV per atom
Calculated volume ... 610.50 Å³ per cell



AgPb2Br after structural relaxation. Source: Alexandria, functional PBE.

a b c (Å): 7.5817 7.5817 7.5817
angles (deg): 90.00 90.00 90.00
Space group Fm-3m (No. 225)
Inequivalent atoms, fractional coordinates:
Ag  0.0000  0.0000  0.0000
Pb  0.2500  0.2500  0.2500
Br  0.0000  0.0000  0.5000

Summary:
Uncorrected formation energy ... 0.07 eV per atom
Total magnetization ... 0.00 μB per cell
ρ ... 9.2 g/cm3
Offset from the most stable computed form ... 205 meV per atom
Calculated volume ... 435.81 Å³ per cell



MgBI2O after structural relaxation. Source: Alexandria, functional PBE.

a b c (Å): 7.1682 7.1682 2.8485
angles (deg): 90.00 90.00 90.00
Space group P4/mmm (No. 123)
Inequivalent atoms, fractional coordinates:
Mg  0.0000  0.0000  0.0000
B  0.5000  0.5000  0.5000
I  0.0000  0.5000  0.5000
O  0.5000  0.5000  0.0000

Summary:
Uncorrected formation energy ... -0.04 eV per atom
Total magnetization ... 0.74 μB per cell
ρ ... 3.5 g/cm3
Offset from the most stable computed form ... 0 meV per atom
Calculated volume ... 146.37 Å³ per cell



Tb2SmMgAu4 after structural relaxation. Source: Alexandria, functional PBE.

a b c (Å): 5.0399 5.0399 24.8456
angles (deg): 90.00 90.00 120.00
Space group R-3m (No. 166, hexagonal axes)
Inequivalent atoms, fractional coordinates:
Tb  0.0000  0.0000  0.2442
Sm  0.0000  0.0000  0.0000
Mg  0.0000  0.0000  0.5000
Au  0.0000  0.0000  0.1232
Au  0.0000  0.0000  0.3775

Summary:
Total magnetization ... 0.00 μB per cell
ρ ... 11.7 g/cm3
Uncorrected energy ... -4.372 eV per atom
Calculated volume ... 546.55 Å³ per cell



AcLa8Tm6 after structural relaxation. Source: Alexandria, functional PBE.

a b c (Å): 9.4972 9.4972 6.6966
angles (deg): 90.00 90.00 120.00
Space group P-3 (No. 147)
Inequivalent atoms, fractional coordinates:
Ac  0.0000  0.0000  0.0000
La  0.0446  0.7433  0.6600
La  0.3333  0.6667  0.6174
Tm  0.1008  0.6596  0.1505

Summary:
Total magnetization ... 0.00 μB per cell
ρ ... 7.5 g/cm3
Uncorrected energy ... -4.509 eV per atom
Calculated volume ... 523.09 Å³ per cell



BaLiOs2 after structural relaxation. Source: Alexandria, functional PBE.

a b c (Å): 3.8681 3.8681 10.3151
angles (deg): 90.00 90.00 90.00
Space group I4/mmm (No. 139)
Inequivalent atoms, fractional coordinates:
Ba  0.0000  0.0000  0.0000
Li  0.0000  0.0000  0.5000
Os  0.0000  0.5000  0.2500

Summary:
Total magnetization ... 0.01 μB per cell
ρ ... 11.3 g/cm3
Offset from the most stable computed form ... 828 meV per atom
Calculated volume ... 154.33 Å³ per cell



AgHgRuCl6 after structural relaxation. Source: Alexandria, functional PBE.

a b c (Å): 6.6722 6.6722 11.4063
angles (deg): 90.00 90.00 120.00
Space group P-31c (No. 163)
Inequivalent atoms, fractional coordinates:
Ag  0.0000  0.0000  0.0000
Hg  0.3333  0.6667  0.2500
Ru  0.3333  0.6667  0.7500
Cl  0.0416  0.3762  0.6312

Summary:
Uncorrected formation energy ... -0.50 eV per atom
Total magnetization ... 2.04 μB per cell
ρ ... 4.7 g/cm3
Calculated volume ... 439.76 Å³ per cell